A geometry-optimized Sr2VMoO6 structure. Source: Alexandria via LeMat-Bulk, functional PBE+U.

Lattice parameters (Å, degrees): 5.6738 5.6537 9.7352 90.00 125.34 90.00
Last column: nearest neighbours and their distance in Å.
Space group P2_1/c (No. 14)
Unique sites:
1 Sr 0.2467 0.0121 0.2499 [4 per cell]  8 O 2.57-2.88
2 V 0.5000 0.0000 0.0000 [2 per cell]  6 O 1.90-2.01
3 Mo 0.0000 0.0000 0.5000 [2 per cell]  6 O 2.03-2.12
4 O 0.2074 0.2318 0.9726 [4 per cell]  1 V 2.01, 1 Mo 2.03
5 O 0.2395 0.7356 0.9723 [4 per cell]  1 V 2.01, 1 Mo 2.03
6 O 0.3145 0.0046 0.7638 [4 per cell]  1 V 1.90, 1 Mo 2.12

Properties
Its size of the total moment is 6.00 Bohr magnetons per cell. The distance to the lowest polymorph of the same formula comes out at 0 meV per atom. As for the volume: 254.7 Å³ per cell. The value obtained for the uncorrected energy is -7.1653 eV per atom.